# PBE KPmBiPb, optimized geometry
# **Calculated total energy**: -14.42 eV/f.u.
# **Total moment**: 0.000 μB per atom
# **Crystal system**: cubic
# **Energy of formation**: -23.7 kJ per mole of atoms
data_KPmBiPb
_symmetry_space_group_name_H-M 'F -4 3 m'
_symmetry_Int_Tables_number 216
_symmetry_space_group_name_Hall 'F -4 2 3'
_cell_length_a 8.0940
_cell_length_b 8.0940
_cell_length_c 8.0940
_cell_angle_alpha 90.00
_cell_angle_beta 90.00
_cell_angle_gamma 90.00
loop_
_atom_site_label
_atom_site_type_symbol
_atom_site_fract_x
_atom_site_fract_y
_atom_site_fract_z
K1 K 0.0000 0.0000 0.0000
Pm1 Pm 0.0000 0.0000 0.5000
Bi1 Bi 0.2500 0.2500 0.7500
Pb1 Pb 0.2500 0.2500 0.2500

---

# PBE Nd6Sm2Ho3Tl, optimized geometry
# **Calculated total energy**: -54.40 eV/f.u.
# **Total moment**: 0.000 μB per atom
# **Crystal system**: monoclinic
# **Energy of formation**: -2.1 kJ per mole of atoms
data_Nd6Sm2Ho3Tl
_symmetry_space_group_name_H-M 'C 1 2/m 1'
_symmetry_Int_Tables_number 12
_symmetry_space_group_name_Hall '-C 2y'
_cell_length_a 6.2162
_cell_length_b 10.7943
_cell_length_c 11.8888
_cell_angle_alpha 90.00
_cell_angle_beta 100.13
_cell_angle_gamma 90.00
loop_
_atom_site_label
_atom_site_type_symbol
_atom_site_fract_x
_atom_site_fract_y
_atom_site_fract_z
Nd1 Nd 0.2433 0.0000 0.2481
Nd2 Nd 0.2470 0.1636 0.7508
Sm1 Sm 0.0000 0.3338 0.5000
Ho1 Ho 0.0000 0.1673 0.0000
Ho2 Ho 0.0000 0.5000 0.0000
Tl1 Tl 0.0000 0.0000 0.5000

---

# PBE Zr2TeW, optimized geometry
# **Calculated total energy**: -32.21 eV/f.u.
# **Total moment**: 0.110 μB per atom
# **Crystal system**: cubic
# **Raw formation energy**: 0.246 eV per atom
data_Zr2TeW
_symmetry_space_group_name_H-M 'F -4 3 m'
_symmetry_Int_Tables_number 216
_symmetry_space_group_name_Hall 'F -4 2 3'
_cell_length_a 6.8554
_cell_length_b 6.8554
_cell_length_c 6.8554
_cell_angle_alpha 90.00
_cell_angle_beta 90.00
_cell_angle_gamma 90.00
loop_
_atom_site_label
_atom_site_type_symbol
_atom_site_fract_x
_atom_site_fract_y
_atom_site_fract_z
Zr1 Zr 0.0000 0.0000 0.0000
Zr2 Zr 0.2500 0.2500 0.2500
Te1 Te 0.0000 0.0000 0.5000
W1 W 0.2500 0.2500 0.7500

---

# PBE KBiB2Rh, optimized geometry
# **Calculated total energy**: -12.74 eV/f.u.
# **Total moment**: 0.000 μB per atom
# **Crystal system**: tetragonal
# **Energy of formation**: 249.9 kJ per mole of atoms
data_KBiB2Rh
_symmetry_space_group_name_H-M 'P 4/m m m'
_symmetry_Int_Tables_number 123
_symmetry_space_group_name_Hall '-P 4 2'
_cell_length_a 4.7651
_cell_length_b 4.7651
_cell_length_c 4.8456
_cell_angle_alpha 90.00
_cell_angle_beta 90.00
_cell_angle_gamma 90.00
loop_
_atom_site_label
_atom_site_type_symbol
_atom_site_fract_x
_atom_site_fract_y
_atom_site_fract_z
K1 K 0.0000 0.0000 0.0000
Bi1 Bi 0.5000 0.5000 0.5000
B1 B 0.0000 0.5000 0.0000
Rh1 Rh 0.0000 0.0000 0.5000

---

# PBE CaMo3, optimized geometry
# **Calculated total energy**: -18.77 eV/f.u.
# **Total moment**: 0.000 μB per atom
# **Crystal system**: cubic
# **Energy of formation**: 379.4 kJ per mole of atoms
data_CaMo3
_symmetry_space_group_name_H-M 'P m -3 m'
_symmetry_Int_Tables_number 221
_symmetry_space_group_name_Hall '-P 4 2 3'
_cell_length_a 4.6459
_cell_length_b 4.6459
_cell_length_c 4.6459
_cell_angle_alpha 90.00
_cell_angle_beta 90.00
_cell_angle_gamma 90.00
loop_
_atom_site_label
_atom_site_type_symbol
_atom_site_fract_x
_atom_site_fract_y
_atom_site_fract_z
Ca1 Ca 0.0000 0.0000 0.0000
Mo1 Mo 0.0000 0.0000 0.5000

---

# PBE Li3Nd2Cu12Ir, optimized geometry
# **Calculated total energy**: -71.51 eV/f.u.
# **Total moment**: 0.000 μB per atom
# **Crystal system**: trigonal
# **Energy of formation**: 9.6 kJ per mole of atoms
data_Li3Nd2Cu12Ir
_symmetry_space_group_name_H-M 'R -3 m'
_symmetry_Int_Tables_number 166
_symmetry_space_group_name_Hall '-R 3 2"'
_cell_length_a 5.5891
_cell_length_b 5.5891
_cell_length_c 31.7482
_cell_angle_alpha 90.00
_cell_angle_beta 90.00
_cell_angle_gamma 120.00
loop_
_atom_site_label
_atom_site_type_symbol
_atom_site_fract_x
_atom_site_fract_y
_atom_site_fract_z
Li1 Li 0.0000 0.5000 0.0000
Nd1 Nd 0.0000 0.0000 0.1448
Cu1 Cu 0.0224 0.5112 0.1024
Cu2 Cu 0.0466 0.5233 0.6145
Ir1 Ir 0.0000 0.0000 0.5000

---

# PBE Nd4TlOs, optimized geometry
# **Calculated total energy**: -33.96 eV/f.u.
# **Total moment**: 0.000 μB per atom
# **Crystal system**: monoclinic
# **Energy of formation**: -20.8 kJ per mole of atoms
data_Nd4TlOs
_symmetry_space_group_name_H-M 'C 1 2/c 1'
_symmetry_Int_Tables_number 15
_symmetry_space_group_name_Hall '-C 2yc'
_cell_length_a 8.9501
_cell_length_b 13.5846
_cell_length_c 6.3400
_cell_angle_alpha 90.00
_cell_angle_beta 107.63
_cell_angle_gamma 90.00
loop_
_atom_site_label
_atom_site_type_symbol
_atom_site_fract_x
_atom_site_fract_y
_atom_site_fract_z
Nd1 Nd 0.1101 0.1691 0.0490
Nd2 Nd 0.2215 0.4239 0.3924
Tl1 Tl 0.0000 0.3769 0.7500
Os1 Os 0.0000 0.0000 0.2500

---

# PBE TbNd2Te, optimized geometry
# **Calculated total energy**: -19.61 eV/f.u.
# **Total moment**: 0.000 μB per atom
# **Crystal system**: tetragonal
# **Raw formation energy**: -0.576 eV per atom
data_TbNd2Te
_symmetry_space_group_name_H-M 'P 4/m m m'
_symmetry_Int_Tables_number 123
_symmetry_space_group_name_Hall '-P 4 2'
_cell_length_a 3.9756
_cell_length_b 3.9756
_cell_length_c 8.0395
_cell_angle_alpha 90.00
_cell_angle_beta 90.00
_cell_angle_gamma 90.00
loop_
_atom_site_label
_atom_site_type_symbol
_atom_site_fract_x
_atom_site_fract_y
_atom_site_fract_z
Tb1 Tb 0.0000 0.0000 0.0000
Nd1 Nd 0.5000 0.5000 0.2764
Te1 Te 0.0000 0.0000 0.5000